A relaxed structure of Pb3BrF5, computed with GGA-PBE.

Lattice parameters (Å, degrees): 3.9491 14.0239 12.6837 90.00 90.00 90.00
With the nearest neighbours (Å) after each atom.
Space group Cmcm (No. 63)
Symmetry-distinct sites (fractional):
Pb1 0.0000 0.1214 0.0361 (multiplicity 8)  6 F 2.39-2.65
Pb2 0.0000 0.3705 0.2500 (multiplicity 4)  6 F 2.54-2.67
Br1 0.0000 0.3188 0.7500 (multiplicity 4)  6 Pb 3.31-3.46, 4 F 3.60
F1 0.0000 0.0688 0.6429 (multiplicity 8)  3 Pb 2.39-2.54
F2 0.0000 0.3021 0.0538 (multiplicity 8)  4 Pb 2.52-2.67, 2 F 2.81
F3 0.0000 0.5000 0.0000 (multiplicity 4)  4 Pb 2.65, 6 F 2.85-2.86

Results
**Polymorph energy (0 for the lowest one)**: 0.00 eV/f.u.
**Formation energy from raw total energies**: -19.046 eV/f.u.

A relaxed structure of Pb2Br2F, computed with GGA-PBE.

Lattice parameters (Å, degrees): 14.6242 6.0575 9.0268 90.00 124.20 90.00
With the nearest neighbours (Å) after each atom.
Space group C2/m (No. 12)
Symmetry-distinct sites (fractional):
Pb1 0.0135 0.0000 0.2386 (multiplicity 4)  2 F 2.39-2.58
Pb2 0.2058 0.5000 0.6339 (multiplicity 4)  1 F 2.44
Br1 0.0127 0.5000 0.7447 (multiplicity 4)  3 Pb 3.07-3.10
Br2 0.1681 0.0000 0.6841 (multiplicity 4)  4 Pb 3.10-3.33
F1 0.1147 0.0000 0.0790 (multiplicity 4)  3 Pb 2.39-2.58

Results
**Polymorph energy (0 for the lowest one)**: 0.00 eV/f.u.
**Formation energy from raw total energies**: -5.379 eV/f.u.

A relaxed structure of Pb2BrF4, computed with GGA-PBE.

Lattice parameters (Å, degrees): 4.2013 4.2013 28.9768 90.00 90.00 120.00
With the nearest neighbours (Å) after each atom.
Space group R-3m (No. 166, hexagonal axes)
Symmetry-distinct sites (fractional):
Pb1 0.0000 0.0000 0.2253 (multiplicity 6)  7 F 2.40-2.62
Br1 0.0000 0.0000 0.0000 (multiplicity 3)  6 F 3.57, 6 Pb 3.96
F1 0.0000 0.0000 0.1426 (multiplicity 6)  4 Pb 2.40-2.62
F2 0.0000 0.0000 0.4238 (multiplicity 6)  3 Pb 2.48

Results
**Formation energy from raw total energies**: -13.015 eV/f.u.

A relaxed structure of PbBrF2, computed with GGA-PBE.

Lattice parameters (Å, degrees): 4.7944 4.7944 15.8199 90.00 90.00 90.00
With the nearest neighbours (Å) after each atom.
Space group I-42d (No. 122)
Symmetry-distinct sites (fractional):
Pb1 0.0000 0.0000 0.0000 (multiplicity 4)  4 F 2.45
Br1 0.0000 0.0000 0.5000 (multiplicity 4)  4 F 2.80
F1 0.1692 0.2500 0.1250 (multiplicity 8)  2 Pb 2.45

Results
**Polymorph energy (0 for the lowest one)**: 0.59 eV/f.u.
**Formation energy from raw total energies**: -5.185 eV/f.u.

A relaxed structure of PbBrF2, computed with GGA-PBE.

Lattice parameters (Å, degrees): 6.6076 6.6076 6.6076 90.00 90.00 90.00
With the nearest neighbours (Å) after each atom.
Space group Fm-3m (No. 225)
Symmetry-distinct sites (fractional):
Pb1 0.0000 0.0000 0.0000 (multiplicity 4)  8 F 2.86
Br1 0.0000 0.0000 0.5000 (multiplicity 4)  8 F 2.86
F1 0.2500 0.2500 0.2500 (multiplicity 8)  4 Pb 2.86, 4 Br 2.86

Results
**Polymorph energy (0 for the lowest one)**: 0.97 eV/f.u.
**Formation energy from raw total energies**: -4.804 eV/f.u.

A relaxed structure of Pb3BrF5, computed with GGA-PBE.

Lattice parameters (Å, degrees): 10.0209 4.6551 11.6195 90.00 110.66 90.00
With the nearest neighbours (Å) after each atom.
Space group Cm (No. 8)
Symmetry-distinct sites (fractional):
Pb1 0.0000 0.0000 0.0000 (multiplicity 2)  2 F 2.31-2.34
Pb2 0.0804 0.0000 0.6594 (multiplicity 2)  5 F 2.34-2.43
Pb3 0.3257 0.0000 0.4062 (multiplicity 2)  2 F 2.21-2.41
Br1 0.1766 0.5000 0.9840 (multiplicity 2)  3 Pb 2.97-3.18
F1 0.0135 0.5000 0.6151 (multiplicity 2)  3 Pb 2.43-2.49
F2 0.1421 0.0000 0.2052 (multiplicity 2)  2 Pb 2.31-2.41
F3 0.1501 0.0000 0.4793 (multiplicity 2)  2 Pb 2.21-2.43
F4 0.3672 0.5000 0.4892 (multiplicity 2)  3 Pb 2.34-2.50
F5 0.4358 0.5000 0.7857 (multiplicity 2)  2 Pb 2.34-2.40

Results
**Polymorph energy (0 for the lowest one)**: 0.73 eV/f.u.
**Formation energy from raw total energies**: -18.316 eV/f.u.

A relaxed structure of Pb2Br3F, computed with GGA-PBE.

Lattice parameters (Å, degrees): 16.8160 4.5375 11.3653 90.00 115.36 90.00
With the nearest neighbours (Å) after each atom.
Space group C2/m (No. 12)
Symmetry-distinct sites (fractional):
Pb1 0.1017 0.0000 0.4470 (multiplicity 4)  2 F 2.50-2.52
Pb2 0.1365 0.5000 0.8156 (multiplicity 4)  2 F 2.94, 5 Br 2.96-3.26
Br1 0.0527 0.5000 0.2433 (multiplicity 4)  3 Pb 2.96-3.09
Br2 0.1533 0.0000 0.9959 (multiplicity 4)  3 Pb 2.99-3.26
Br3 0.2244 0.5000 0.6212 (multiplicity 4)  4 Pb 3.13-3.33
F1 0.0624 0.0000 0.6373 (multiplicity 4)  2 Pb 2.50-2.52

Results
**Formation energy from raw total energies**: -7.540 eV/f.u.

A relaxed structure of PbBrF2, computed with GGA-PBE.

Lattice parameters (Å, degrees): 3.8877 3.8877 28.4335 90.00 90.00 120.00
With the nearest neighbours (Å) after each atom.
Space group R-3m (No. 166, hexagonal axes)
Symmetry-distinct sites (fractional):
Pb1 0.0000 0.0000 0.0000 (multiplicity 3)  6 F 2.48
Br1 0.0000 0.0000 0.5000 (multiplicity 3)  2 F 3.69, 6 Br 3.89
F1 0.0000 0.0000 0.3701 (multiplicity 6)  3 Pb 2.48

Results
**Polymorph energy (0 for the lowest one)**: 0.00 eV/f.u.
**Formation energy from raw total energies**: -5.776 eV/f.u.

Quick rundown of calculated density, same order as above: 7.5 6.0 6.4 5.9 7.5 5.2 5.7 4.4 g/cm3